Entry 1:
SbPtBr2: optimized geometry, GGA-PBE.

Computed properties:
relative energy among the computed polymorphs	452.0	meV per atom

The structure in extended XYZ format:
```
8
Lattice="-7.400 -3.362 -6.902 -6.611 -2.082 8.103 -7.930 -0.377 0.449" Properties=species:S:1:pos:R:3 pbc="T T T"
Sb -7.006 -2.722 0.601
Sb -10.773 -2.590 4.576
Br -13.247 -3.484 -4.691
Br -9.551 -1.804 -1.236
Br -9.282 -3.295 -4.912
Br -12.592 -4.338 -0.864
Pt -11.168 -3.230 -2.926
Pt 0.000 0.000 0.000
```

---

Entry 2:
SbPtBr2: optimized geometry, GGA-PBE.

Computed properties:
relative energy among the computed polymorphs	655.2	meV per atom

The structure in extended XYZ format:
```
4
Lattice="2.006 0.000 9.561 -1.003 1.737 9.561 -1.003 -1.737 9.561" Properties=species:S:1:pos:R:3 pbc="T T T"
Sb 0.000 0.000 14.341
Br 0.000 0.000 26.267
Br 0.000 0.000 2.415
Pt 0.000 0.000 0.000
```

---

Entry 3:
Sb4PtBr: optimized geometry, GGA-PBE.

The structure in extended XYZ format:
```
6
Lattice="4.173 -4.012 2.028 1.104 -0.501 6.013 -1.793 -5.017 3.040" Properties=species:S:1:pos:R:3 pbc="T T T"
Br 2.614 -7.147 8.311
Sb 1.857 -3.841 7.133
Sb 1.315 -3.595 4.180
Sb 3.364 -5.565 5.176
Sb 0.434 -6.059 5.673
Pt 0.000 0.000 0.000
```

---

Entry 4:
SbPtBr: optimized geometry, GGA-PBE.

Computed properties:
relative energy among the computed polymorphs	21.0	meV per atom

The structure in extended XYZ format:
```
12
Lattice="-0.849 5.374 1.264 -6.642 -1.560 2.169 2.491 -1.265 7.050" Properties=species:S:1:pos:R:3 pbc="T T T"
Br -2.575 -0.237 6.026
Br -3.781 0.143 2.442
Br -2.426 2.786 4.457
Br -1.220 2.406 8.042
Sb -5.415 1.976 7.189
Sb -6.611 2.297 3.590
Sb 0.414 0.573 3.295
Sb 1.610 0.253 6.893
Pt -4.627 1.075 4.827
Pt -1.206 -0.509 1.516
Pt -3.795 3.058 8.967
Pt -0.374 1.475 5.657
```

---

Entry 5:
SbPtBr2: optimized geometry, GGA-PBE.

Computed properties:
relative energy among the computed polymorphs	361.3	meV per atom

The structure in extended XYZ format:
```
4
Lattice="3.494 0.000 0.000 0.000 3.494 0.000 0.000 0.000 8.628" Properties=species:S:1:pos:R:3 pbc="T T T"
Sb 1.747 1.747 5.975
Pt 0.000 0.000 4.604
Br 0.000 0.000 8.065
Br 1.747 1.747 2.927
```

---

Entry 6:
SbPtBr2: optimized geometry, GGA-PBE.

Computed properties:
relative energy among the computed polymorphs	899.1	meV per atom

The structure in extended XYZ format:
```
4
Lattice="0.000 3.565 3.565 3.565 0.000 3.565 3.565 3.565 0.000" Properties=species:S:1:pos:R:3 pbc="T T T"
Sb 0.000 0.000 0.000
Br 1.782 1.782 1.782
Br 5.347 5.347 5.347
Pt 3.565 3.565 3.565
```

---

Number 1: formation energy from raw total energies 28 kJ/mol of formula units, theoretical density 5.5 g cm⁻³, total magnetic moment 0.0 μB per formula unit. Number 2: formation energy from raw total energies 106 kJ/mol of formula units, theoretical density 7.9 g cm⁻³, total magnetic moment 0.0 μB per formula unit. Number 3: formation energy from raw total energies 340 kJ/mol of formula units, theoretical density 7.8 g cm⁻³, total magnetic moment 0.0 μB per formula unit. Number 4: formation energy from raw total energies -91 kJ/mol of formula units, theoretical density 8.7 g cm⁻³, total magnetic moment 0.0 μB per formula unit. Number 5: formation energy from raw total energies -7 kJ/mol of formula units, theoretical density 7.5 g cm⁻³, total magnetic moment 0.0 μB per formula unit. Number 6: formation energy from raw total energies 201 kJ/mol of formula units, theoretical density 8.7 g cm⁻³, total magnetic moment 0.0 μB per formula unit.